#one
Here is Mg2TaRe2 after structural relaxation from the Alexandria database. Energies are from PBE-GGA.

Cell lengths 7.547, 7.547, 7.547 Å; angles 152.68, 152.68, 39.01 degrees
Fractional coordinates of all 5 atoms:
Mg1 0.250 0.750 0.500
Mg2 0.750 0.250 0.500
Ta1 0.000 0.000 0.000
Re1 0.412 0.412 0.000
Re2 0.588 0.588 0.000



#two
Here is Mg2TaRe2 after structural relaxation from the Alexandria database. Energies are from PBE-GGA.

Cell lengths 7.032, 7.032, 3.284 Å; angles 90.00, 90.00, 90.00 degrees
Fractional coordinates of all 10 atoms:
Mg1 0.122 0.378 0.000
Mg2 0.378 0.878 0.000
Mg3 0.622 0.122 0.000
Mg4 0.878 0.622 0.000
Ta1 0.000 0.000 0.000
Ta2 0.500 0.500 0.000
Re1 0.180 0.680 0.500
Re2 0.320 0.180 0.500
Re3 0.680 0.820 0.500
Re4 0.820 0.320 0.500



Stability ranking, top and bottom: #one is the most stable and #two is the least stable.



#one
Here is Mg2TaRe2 after structural relaxation from the Alexandria database. Energies are from PBE-GGA.

Cell lengths 6.511, 6.511, 4.534 Å; angles 90.00, 90.00, 90.00 degrees
Fractional coordinates of all 10 atoms:
Mg1 0.169 0.331 0.000
Mg2 0.331 0.831 0.000
Mg3 0.669 0.169 0.000
Mg4 0.831 0.669 0.000
Ta1 0.000 0.000 0.500
Ta2 0.500 0.500 0.500
Re1 0.132 0.632 0.500
Re2 0.368 0.132 0.500
Re3 0.632 0.868 0.500
Re4 0.868 0.368 0.500



#two
Here is Mg2TaRe2 after structural relaxation from the Alexandria database. Energies are from PBE-GGA.

Cell lengths 7.085, 7.085, 7.085 Å; angles 149.94, 149.94, 43.03 degrees
Fractional coordinates of all 5 atoms:
Mg1 0.097 0.097 0.000
Mg2 0.903 0.903 0.000
Ta1 0.500 0.500 0.000
Re1 0.250 0.750 0.500
Re2 0.750 0.250 0.500



Stability ranking, top and bottom: #one is the most stable and #two is the least stable.



#one
Here is MgTa2Re2 after structural relaxation from the Alexandria database. Energies are from PBE-GGA.

Cell lengths 6.284, 6.284, 6.284 Å; angles 140.02, 140.02, 57.82 degrees
Fractional coordinates of all 5 atoms:
Mg1 0.000 0.000 0.000
Ta1 0.250 0.750 0.500
Ta2 0.750 0.250 0.500
Re1 0.386 0.386 0.000
Re2 0.614 0.614 0.000



#two
Here is MgTa2Re2 after structural relaxation from the Alexandria database. Energies are from PBE-GGA.

Cell lengths 7.701, 7.701, 3.057 Å; angles 90.00, 90.00, 90.00 degrees
Fractional coordinates of all 10 atoms:
Mg1 0.000 0.000 0.000
Mg2 0.500 0.500 0.000
Ta1 0.150 0.350 0.500
Ta2 0.350 0.850 0.500
Ta3 0.650 0.150 0.500
Ta4 0.850 0.650 0.500
Re1 0.147 0.647 0.000
Re2 0.353 0.147 0.000
Re3 0.647 0.853 0.000
Re4 0.853 0.353 0.000



Stability ranking, top and bottom: #two is the most stable and #one is the least stable.



#one
Here is Tb2MgRe after structural relaxation from the Alexandria database. Energies are from PBE-GGA.

Cell lengths 11.658, 11.658, 11.658 Å; angles 15.17, 15.17, 15.17 degrees
Fractional coordinates of all 4 atoms:
Tb1 0.080 0.080 0.080
Tb2 0.920 0.920 0.920
Mg1 0.500 0.500 0.500
Re1 0.000 0.000 0.000



#two
Here is Tb2MgRe after structural relaxation from the Alexandria database. Energies are from PBE-GGA.

Cell lengths 3.469, 3.469, 8.225 Å; angles 90.00, 90.00, 90.00 degrees
Fractional coordinates of all 4 atoms:
Tb1 0.000 0.000 0.202
Tb2 0.000 0.000 0.798
Mg1 0.500 0.500 0.500
Re1 0.500 0.500 0.000



Stability ranking, top and bottom: #two is the most stable and #one is the least stable.



#one
Here is MgReTc after structural relaxation from the Alexandria database. Energies are from PBE-GGA.

Cell lengths 4.237, 4.237, 4.237 Å; angles 60.00, 60.00, 60.00 degrees
Fractional coordinates of all 3 atoms:
Mg1 0.000 0.000 0.000
Re1 0.500 0.500 0.500
Tc1 0.750 0.750 0.750



#two
Here is MgReTc after structural relaxation from the Alexandria database. Energies are from PBE-GGA.

Cell lengths 7.311, 7.095, 2.741 Å; angles 83.52, 74.62, 21.87 degrees
Fractional coordinates of all 3 atoms:
Mg1 0.000 0.000 0.000
Re1 0.674 0.674 0.326
Tc1 0.328 0.328 0.672



Stability ranking, top and bottom: #two is the most stable and #one is the least stable.



#one
Here is MgReTc after structural relaxation from the Alexandria database. Energies are from PBE-GGA.

Cell lengths 5.457, 5.457, 5.457 Å; angles 147.35, 147.35, 46.85 degrees
Fractional coordinates of all 3 atoms:
Mg1 0.000 0.000 0.000
Re1 0.318 0.318 0.000
Tc1 0.680 0.680 0.000



#two
Here is MgReTc after structural relaxation from the Alexandria database. Energies are from PBE-GGA.

Cell lengths 4.424, 4.424, 2.707 Å; angles 90.00, 90.00, 120.00 degrees
Fractional coordinates of all 3 atoms:
Mg1 0.000 0.000 0.000
Re1 0.667 0.333 0.386
Tc1 0.333 0.667 0.633



Stability ranking, top and bottom: #one is the most stable and #two is the least stable.



#one
Here is Mg3ReTe after structural relaxation from the Alexandria database. Energies are from PBE-GGA.

Cell lengths 5.255, 5.255, 5.255 Å; angles 90.00, 90.00, 90.00 degrees
Fractional coordinates of all 5 atoms:
Mg1 0.000 0.000 0.500
Mg2 0.000 0.500 0.000
Mg3 0.500 0.000 0.000
Re1 0.500 0.500 0.500
Te1 0.000 0.000 0.000



#two
Here is Mg3ReTe after structural relaxation from the Alexandria database. Energies are from PBE-GGA.

Cell lengths 5.134, 5.134, 5.134 Å; angles 90.00, 90.00, 90.00 degrees
Fractional coordinates of all 5 atoms:
Mg1 0.000 0.000 0.500
Mg2 0.000 0.500 0.000
Mg3 0.500 0.000 0.000
Re1 0.000 0.000 0.000
Te1 0.500 0.500 0.500



Stability ranking, top and bottom: #two is the most stable and #one is the least stable.



#one
Here is Mg2TlRe after structural relaxation from the Alexandria database. Energies are from PBE-GGA.

Cell lengths 5.277, 5.277, 2.922 Å; angles 90.16, 90.16, 112.63 degrees
Fractional coordinates of all 4 atoms:
Mg1 0.000 0.500 0.000
Mg2 0.500 0.000 0.000
Tl1 0.000 0.000 0.500
Re1 0.500 0.500 0.500



#two
Here is Mg2TlRe after structural relaxation from the Alexandria database. Energies are from PBE-GGA.

Cell lengths 2.959, 2.959, 9.099 Å; angles 90.00, 90.00, 90.00 degrees
Fractional coordinates of all 4 atoms:
Mg1 0.000 0.000 0.215
Mg2 0.000 0.000 0.785
Tl1 0.500 0.500 0.500
Re1 0.500 0.500 0.000



#three
Here is Mg2TlRe after structural relaxation from the Alexandria database. Energies are from PBE-GGA.

Cell lengths 5.254, 5.254, 5.220 Å; angles 98.07, 98.07, 32.43 degrees
Fractional coordinates of all 4 atoms:
Mg1 0.238 0.238 0.230
Mg2 0.762 0.762 0.770
Tl1 0.000 0.000 0.500
Re1 0.500 0.500 0.000



#four
Here is Mg2TlRe after structural relaxation from the Alexandria database. Energies are from PBE-GGA.

Cell lengths 2.921, 4.344, 5.975 Å; angles 90.00, 90.97, 90.00 degrees
Fractional coordinates of all 4 atoms:
Mg1 0.003 0.000 0.278
Mg2 0.997 0.000 0.722
Tl1 0.500 0.500 0.000
Re1 0.500 0.500 0.500



Stability ranking, top and bottom: #two is the most stable and #three is the least stable.



#one
Here is Mg2TlRe after structural relaxation from the Alexandria database. Energies are from PBE-GGA.

Cell lengths 5.212, 5.212, 5.309 Å; angles 95.59, 95.59, 32.03 degrees
Fractional coordinates of all 4 atoms:
Mg1 0.000 0.000 0.000
Mg2 0.237 0.237 0.726
Tl1 0.754 0.754 0.248
Re1 0.499 0.499 0.519



#two
Here is Mg2TlRe after structural relaxation from the Alexandria database. Energies are from PBE-GGA.

Cell lengths 2.928, 2.928, 9.560 Å; angles 90.00, 90.00, 104.55 degrees
Fractional coordinates of all 4 atoms:
Mg1 0.000 0.000 0.217
Mg2 0.000 0.000 0.783
Tl1 0.500 0.500 0.500
Re1 0.500 0.500 0.000



Stability ranking, top and bottom: #two is the most stable and #one is the least stable.



#one
Here is Mg2TlRe after structural relaxation from the Alexandria database. Energies are from PBE-GGA.

Cell lengths 5.350, 5.350, 5.350 Å; angles 135.17, 135.17, 65.27 degrees
Fractional coordinates of all 4 atoms:
Mg1 0.250 0.750 0.500
Mg2 0.750 0.250 0.500
Tl1 0.000 0.000 0.000
Re1 0.500 0.500 0.000



#two
Here is Mg2TlRe after structural relaxation from the Alexandria database. Energies are from PBE-GGA.

Cell lengths 9.693, 9.693, 9.693 Å; angles 18.24, 18.24, 18.24 degrees
Fractional coordinates of all 4 atoms:
Mg1 0.244 0.244 0.244
Mg2 0.756 0.756 0.756
Tl1 0.000 0.000 0.000
Re1 0.500 0.500 0.500



Stability ranking, top and bottom: #two is the most stable and #one is the least stable.



#one
Here is Mg2TlRe after structural relaxation from the Alexandria database. Energies are from PBE-GGA.

Cell lengths 6.087, 6.087, 6.087 Å; angles 102.42, 102.42, 124.75 degrees
Fractional coordinates of all 8 atoms:
Mg1 0.110 0.125 0.485
Mg2 0.375 0.890 0.015
Mg3 0.640 0.625 0.515
Mg4 0.875 0.360 0.985
Tl1 0.250 0.750 0.500
Tl2 0.500 0.500 0.000
Re1 0.000 0.000 0.000
Re2 0.750 0.250 0.500



#two
Here is Mg2TlRe after structural relaxation from the Alexandria database. Energies are from PBE-GGA.

Cell lengths 5.333, 5.333, 5.333 Å; angles 135.59, 135.59, 64.61 degrees
Fractional coordinates of all 4 atoms:
Mg1 0.000 0.000 0.000
Mg2 0.750 0.250 0.500
Tl1 0.500 0.500 0.000
Re1 0.250 0.750 0.500



#three
Here is Mg2TlRe after structural relaxation from the Alexandria database. Energies are from PBE-GGA.

Cell lengths 5.646, 5.646, 5.646 Å; angles 145.48, 131.30, 61.06 degrees
Fractional coordinates of all 4 atoms:
Mg1 0.232 0.232 0.000
Mg2 0.768 0.768 0.000
Tl1 0.500 0.000 0.500
Re1 0.000 0.500 0.500



#four
Here is Mg2TlRe after structural relaxation from the Alexandria database. Energies are from PBE-GGA.

Cell lengths 3.525, 3.525, 6.136 Å; angles 90.00, 90.00, 90.00 degrees
Fractional coordinates of all 4 atoms:
Mg1 0.000 0.000 0.000
Mg2 0.500 0.500 0.268
Tl1 0.500 0.500 0.730
Re1 0.000 0.000 0.479



Stability ranking, top and bottom: #two is the most stable and #one is the least stable.